# 1
# Cs2BaSr2

A geometry-optimized Cs2BaSr2 structure (PBE-GGA, Alexandria).

formation enthalpy at 0 K	0.3228	eV per atom
mass density	2.3	g/cm3
raw total energy	-1.076	eV per atom

abc: 14.7855 14.7855 14.7855
angles: 158.79 158.79 30.17
Fractional positions:
Cs 0.1121 0.1121 0.0000
Cs 0.8879 0.8879 0.0000
Ba 0.5000 0.5000 0.0000
Sr 0.2500 0.7500 0.5000
Sr 0.7500 0.2500 0.5000

***

# 2
# CsBaSr2

A geometry-optimized CsBaSr2 structure (PBE-GGA, Alexandria).

formation enthalpy at 0 K	0.3308	eV per atom
mass density	2.8	g/cm3
raw total energy	-1.204	eV per atom

abc: 8.9416 8.9416 8.9416
angles: 102.72 102.72 124.03
Fractional positions:
Cs 0.0000 0.0000 0.0000
Cs 0.7500 0.2500 0.5000
Ba 0.2500 0.7500 0.5000
Ba 0.5000 0.5000 0.0000
Sr 0.1215 0.6250 0.9965
Sr 0.3750 0.3715 0.4965
Sr 0.6285 0.1250 0.0035
Sr 0.8750 0.8785 0.5035